# 1
# Dy2Ho6Tm3In

A relaxed structure of Dy2Ho6Tm3In (GGA-PBE, Alexandria via LeMat-Bulk).

Results
Calculated density   9.0 g cm⁻³
Final energy   -4.44 eV per atom
N(E_F)   15.7 states/eV/cell
Total magnetic moment   0.00 μB per formula unit

a b c (Å): 6.0359 6.0359 11.5564
angles (deg): 95.01 95.01 120.04
Closest atoms and distances in Å follow each position.
Sites, in units of the cell vectors:
1 Dy 0.3339 0.6661 0.0000  3 Dy 3.47-3.49, 3 In 3.48-3.49, 6 Ho 3.48-3.49
2 Dy 0.6661 0.3339 0.0000  3 Dy 3.47-3.49, 3 In 3.48-3.49, 6 Ho 3.48-3.49
3 Ho 0.9174 0.5881 0.7513  6 Ho 3.44-3.51, 1 In 3.46, 2 Dy 3.48, 3 Tm 3.49-3.51
4 Ho 0.7535 0.7535 0.2500  6 Ho 3.44-3.51, 1 In 3.47, 3 Tm 3.48-3.50, 2 Dy 3.49
5 Ho 0.0826 0.4119 0.2487  6 Ho 3.44-3.51, 1 In 3.46, 2 Dy 3.48, 3 Tm 3.49-3.51
6 Ho 0.5881 0.9174 0.7513  6 Ho 3.44-3.51, 1 In 3.46, 2 Dy 3.48, 3 Tm 3.49-3.51
7 Ho 0.2465 0.2465 0.7500  6 Ho 3.44-3.51, 1 In 3.47, 3 Tm 3.48-3.50, 2 Dy 3.49
8 Ho 0.4119 0.0826 0.2487  6 Ho 3.44-3.51, 1 In 3.46, 2 Dy 3.48, 3 Tm 3.49-3.51
9 Tm 0.1667 0.8333 0.5000  6 Ho 3.48-3.51, 6 Tm 3.48-3.49
10 Tm 0.8333 0.1667 0.5000  6 Ho 3.48-3.51, 6 Tm 3.48-3.49
11 Tm 0.5000 0.5000 0.5000  6 Tm 3.48, 6 Ho 3.49-3.50
12 In 0.0000 0.0000 0.0000  6 Ho 3.46-3.47, 6 Dy 3.48-3.49



# 2
# KGaHgPb

A relaxed structure of KGaHgPb (GGA-PBE, Alexandria via LeMat-Bulk).

Results
Calculated density   7.5 g cm⁻³
Final energy   -2.07 eV per atom
N(E_F)   1.1 states/eV/cell
Total magnetic moment   0.00 μB per formula unit

a b c (Å): 5.4421 5.4421 5.4421
angles (deg): 60.00 60.00 60.00
Closest atoms and distances in Å follow each position.
Sites, in units of the cell vectors:
1 Pb 0.5000 0.5000 0.5000  4 Hg 3.33, 4 Ga 3.33
2 K 0.0000 0.0000 0.0000  4 Hg 3.33, 4 Ga 3.33
3 Hg 0.7500 0.7500 0.7500  4 K 3.33, 4 Pb 3.33
4 Ga 0.2500 0.2500 0.2500  4 Pb 3.33, 4 K 3.33



# 3
# TbPrGa2Au2

A relaxed structure of TbPrGa2Au2 (GGA-PBE, Alexandria via LeMat-Bulk).

Results
Calculated density   10.3 g cm⁻³
Final energy   -4.44 eV per atom
N(E_F)   3.6 states/eV/cell
Total magnetic moment   0.00 μB per formula unit

a b c (Å): 4.5741 4.5741 7.3942
angles (deg): 90.00 90.00 120.00
Closest atoms and distances in Å follow each position.
Sites, in units of the cell vectors:
1 Tb 0.0000 0.0000 0.5000  6 Au 3.13, 6 Ga 3.15
2 Pr 0.0000 0.0000 0.0000  6 Ga 3.30, 6 Au 3.32
3 Ga 0.6667 0.3333 0.2678  3 Au 2.64
4 Ga 0.3333 0.6667 0.7322  3 Au 2.64
5 Au 0.6667 0.3333 0.7283  3 Ga 2.64
6 Au 0.3333 0.6667 0.2717  3 Ga 2.64



# 4
# Ba3ScPd

A relaxed structure of Ba3ScPd (GGA-PBE, Alexandria via LeMat-Bulk).

Results
Calculated density   4.0 g cm⁻³
Final energy   -2.67 eV per atom
N(E_F)   9.0 states/eV/cell
Total magnetic moment   0.23 μB per formula unit

a b c (Å): 6.1692 6.1692 6.1692
angles (deg): 90.00 90.00 90.00
Closest atoms and distances in Å follow each position.
Sites, in units of the cell vectors:
1 Sc 0.0000 0.0000 0.0000  6 Ba 3.08
2 Ba 0.0000 0.5000 0.0000  2 Sc 3.08
3 Ba 0.0000 0.0000 0.5000  2 Sc 3.08
4 Ba 0.5000 0.0000 0.0000  2 Sc 3.08
5 Pd 0.5000 0.5000 0.5000  12 Ba 4.36